# CaMnO2 PBE with a Hubbard U relaxed
# Raw total energy: -7.00 eV/atom
data_CaMnO2
_chemical_formula_sum 'Ca4 Mn4 O8'
_space_group_name_H-M_alt 'P 1'
_space_group_IT_number 1
_space_group_name_Hall 'P 1'
_cell_length_a 3.372
_cell_length_b 8.693
_cell_length_c 8.824
_cell_angle_alpha 97.29
_cell_angle_beta 90.02
_cell_angle_gamma 100.96
loop_
_atom_site_label
_atom_site_type_symbol
_atom_site_fract_x
_atom_site_fract_y
_atom_site_fract_z
Ca1 Ca 0.067 0.126 0.268
Ca2 Ca 0.153 0.302 0.950
Ca3 Ca 0.847 0.698 0.050
Ca4 Ca 0.933 0.874 0.732
Mn1 Mn 0.284 0.572 0.731
Mn2 Mn 0.383 0.769 0.363
Mn3 Mn 0.617 0.231 0.637
Mn4 Mn 0.716 0.428 0.269
O1 O 0.069 0.134 0.724
O2 O 0.275 0.549 0.190
O3 O 0.367 0.739 0.585
O4 O 0.383 0.773 0.900
O5 O 0.617 0.227 0.100
O6 O 0.633 0.261 0.415
O7 O 0.725 0.451 0.810
O8 O 0.931 0.866 0.276